[1]
## Co3Ni3Ir (PBE)

Data for Co3Ni3Ir after structural relaxation.

```
data_Co3Ni3Ir
_cell_length_a 4.117
_cell_length_b 6.738
_cell_length_c 6.738
_cell_angle_alpha 120.00
_cell_angle_beta 90.00
_cell_angle_gamma 90.00
_space_group_name_H-M_alt 'P 1'
_space_group_IT_number 1
loop_
_space_group_symop_operation_xyz
'x,y,z'
loop_
_atom_site_label
_atom_site_type_symbol
_atom_site_fract_x
_atom_site_fract_y
_atom_site_fract_z
Ni1 Ni 0.750 0.232 0.041
Ni2 Ni 0.750 0.809 0.768
Ni3 Ni 0.250 0.768 0.959
Ni4 Ni 0.750 0.959 0.191
Ni5 Ni 0.250 0.191 0.232
Ni6 Ni 0.250 0.041 0.809
Co1 Co 0.250 0.907 0.379
Co2 Co 0.750 0.527 0.907
Co3 Co 0.750 0.093 0.621
Co4 Co 0.750 0.379 0.473
Co5 Co 0.250 0.473 0.093
Co6 Co 0.250 0.621 0.527
Ir1 Ir 0.750 0.667 0.333
Ir2 Ir 0.250 0.333 0.667
```



[2]
## UCrNi (PBE)

Data for UCrNi after structural relaxation.

```
data_UCrNi
_cell_length_a 5.108
_cell_length_b 5.108
_cell_length_c 5.108
_cell_angle_alpha 96.18
_cell_angle_beta 53.46
_cell_angle_gamma 120.82
_space_group_name_H-M_alt 'P 1'
_space_group_IT_number 1
loop_
_space_group_symop_operation_xyz
'x,y,z'
loop_
_atom_site_label
_atom_site_type_symbol
_atom_site_fract_x
_atom_site_fract_y
_atom_site_fract_z
Ni1 Ni 0.750 0.375 0.375
Ni2 Ni 0.250 0.875 0.375
U1 U 0.500 0.772 0.728
U2 U 0.000 0.978 0.022
Cr1 Cr 0.750 0.375 0.875
Cr2 Cr 0.250 0.375 0.375
```



Number 1: energy of formation 0.1 eV per formula unit. Number 2: energy of formation 0.0 eV per formula unit.